Entry 1:
The following is a DFT calculation (PBE) of an optimized crystal structure of ZrPa2CoN5.

Summary:
The uncorrected formation energy comes out at -1.21 eV per atom. As for the total moment: 0.003 μB/cell. The crystal system is orthorhombic. The electronic total energy is -9.68 eV per atom.

The structure in CIF format:
```
data_ZrPa2CoN5
_chemical_formula_sum 'Zr4 Pa8 Co4 N20'
_space_group_name_H-M_alt 'C m c 21'
_space_group_IT_number 36
_cell_length_a 3.3183
_cell_length_b 12.9893
_cell_length_c 10.1951
_cell_angle_alpha 90.00
_cell_angle_beta 90.00
_cell_angle_gamma 90.00
loop_
_space_group_symop_operation_xyz
'x,y,z'
'-x,-y,z+1/2'
'-x,y,z'
'x,-y,z+1/2'
'x+1/2,y+1/2,z'
'-x+1/2,-y+1/2,z+1/2'
'-x+1/2,y+1/2,z'
'x+1/2,-y+1/2,z+1/2'
loop_
_atom_site_label
_atom_site_fract_x
_atom_site_fract_y
_atom_site_fract_z
Zr1 0.0000 0.1962 0.0000
Pa1 0.0000 0.1060 0.6758
Pa2 0.0000 0.1406 0.2997
Co1 0.0000 0.4786 0.4489
N1 0.0000 0.0427 0.0616
N2 0.0000 0.2818 0.6591
N3 0.0000 0.3255 0.3568
N4 0.0000 0.3687 0.9882
N5 0.0000 0.4857 0.7675
```

Entry 2:
The following is a DFT calculation (PBE) of an optimized crystal structure of K2Hg2H4Ir.

Summary:
As for the total moment: 0.000 μB/cell. The crystal system is tetragonal. The electronic total energy is -2.98 eV per atom.

The structure in CIF format:
```
data_K2Hg2H4Ir
_chemical_formula_sum 'K4 Hg4 H8 Ir2'
_space_group_name_H-M_alt 'I 4/m m m'
_space_group_IT_number 139
_space_group_name_Hall '-I 4 2'
_cell_length_a 6.6065
_cell_length_b 6.6065
_cell_length_c 7.9628
_cell_angle_alpha 90.00
_cell_angle_beta 90.00
_cell_angle_gamma 90.00
loop_
_atom_site_label
_atom_site_fract_x
_atom_site_fract_y
_atom_site_fract_z
K1 0.0000 0.5000 0.2500
Hg1 0.0000 0.0000 0.1724
H1 0.1818 0.1818 0.5000
Ir1 0.0000 0.0000 0.5000
```